# PBE RbInAu, relaxed
# * energy of formation from the pure elements: -0.57 eV/f.u.
# * crystal system: tetragonal
# * raw total energy: -15.10 eV for the cell shown
data_RbInAu
_cell_length_a 3.9161
_cell_length_b 3.9161
_cell_length_c 12.7365
_cell_angle_alpha 90.00
_cell_angle_beta 90.00
_cell_angle_gamma 90.00
_symmetry_space_group_name_H-M 'I 4 m m'
_symmetry_Int_Tables_number 107
_symmetry_space_group_name_Hall 'I 4 -2'
loop_
_atom_site_label
_atom_site_fract_x
_atom_site_fract_y
_atom_site_fract_z
_atom_site_occupancy
Rb1 0.0000 0.0000 0.0000 1
In1 0.0000 0.0000 0.2795 1
Au1 0.0000 0.0000 0.7153 1

# PBE RbInAu2, relaxed
# * energy of formation from the pure elements: -1.08 eV/f.u.
# * crystal system: trigonal
# * raw total energy: -34.04 eV for the cell shown
data_RbInAu2
_cell_length_a 4.8763
_cell_length_b 4.8763
_cell_length_c 18.5747
_cell_angle_alpha 90.00
_cell_angle_beta 90.00
_cell_angle_gamma 120.00
_symmetry_space_group_name_H-M 'R -3 m'
_symmetry_Int_Tables_number 166
_symmetry_space_group_name_Hall '-R 3 2"'
loop_
_atom_site_label
_atom_site_fract_x
_atom_site_fract_y
_atom_site_fract_z
_atom_site_occupancy
Rb1 0.0000 0.0000 0.0000 1
In1 0.0000 0.0000 0.5000 1
Au1 0.0000 0.0000 0.1849 1

# PBE RbIn2Au4, relaxed
# * energy of formation from the pure elements: -1.78 eV/f.u.
# * crystal system: tetragonal
# * offset from the most stable computed form: 0 meV/atom
# * raw total energy: -85.32 eV for the cell shown
data_RbIn2Au4
_cell_length_a 9.0592
_cell_length_b 9.0592
_cell_length_c 8.4016
_cell_angle_alpha 90.00
_cell_angle_beta 90.00
_cell_angle_gamma 90.00
_symmetry_space_group_name_H-M 'I 4/m c m'
_symmetry_Int_Tables_number 140
_symmetry_space_group_name_Hall '-I 4 2c'
loop_
_atom_site_label
_atom_site_fract_x
_atom_site_fract_y
_atom_site_fract_z
_atom_site_occupancy
Rb1 0.0000 0.0000 0.2500 1
In1 0.1408 0.3592 0.0000 1
Au1 0.1522 0.3478 0.3345 1

# PBE Rb2In5Au, relaxed
# * energy of formation from the pure elements: -0.58 eV/f.u.
# * crystal system: tetragonal
# * raw total energy: -38.96 eV for the cell shown
data_Rb2In5Au
_cell_length_a 6.4855
_cell_length_b 6.4855
_cell_length_c 13.4933
_cell_angle_alpha 90.00
_cell_angle_beta 90.00
_cell_angle_gamma 90.00
_symmetry_space_group_name_H-M 'I 4 m m'
_symmetry_Int_Tables_number 107
_symmetry_space_group_name_Hall 'I 4 -2'
loop_
_atom_site_label
_atom_site_fract_x
_atom_site_fract_y
_atom_site_fract_z
_atom_site_occupancy
Rb1 0.0000 0.5000 0.0000 1
In1 0.0000 0.0000 0.1054 1
In2 0.2493 0.2493 0.7596 1
Au1 0.0000 0.0000 0.8954 1

# PBE Rb6InAu, relaxed
# * energy of formation from the pure elements: -0.69 eV/f.u.
# * crystal system: orthorhombic
# * raw total energy: -25.02 eV for the cell shown
data_Rb6InAu
_cell_length_a 4.8023
_cell_length_b 14.2420
_cell_length_c 15.5993
_cell_angle_alpha 90.00
_cell_angle_beta 90.00
_cell_angle_gamma 90.00
_symmetry_space_group_name_H-M 'A m m 2'
_symmetry_Int_Tables_number 38
loop_
_symmetry_equiv_pos_as_xyz
'x,y,z'
'-x,-y,z'
'-x,y,z'
'x,-y,z'
'x,y+1/2,z+1/2'
'-x,-y+1/2,z+1/2'
'-x,y+1/2,z+1/2'
'x,-y+1/2,z+1/2'
loop_
_atom_site_label
_atom_site_fract_x
_atom_site_fract_y
_atom_site_fract_z
_atom_site_occupancy
Rb1 0.0000 0.0000 0.0000 1
Rb2 0.0000 0.1497 0.7040 1
Rb3 0.5000 0.0000 0.2720 1
Rb4 0.5000 0.2147 0.4632 1
In1 0.0000 0.0000 0.4890 1
Au1 0.5000 0.0000 0.5793 1

# PBE RbIn2Au3, relaxed
# * energy of formation from the pure elements: -1.76 eV/f.u.
# * crystal system: orthorhombic
# * raw total energy: -72.14 eV for the cell shown
data_RbIn2Au3
_cell_length_a 11.7599
_cell_length_b 8.5689
_cell_length_c 6.4623
_cell_angle_alpha 90.00
_cell_angle_beta 90.00
_cell_angle_gamma 90.00
_symmetry_space_group_name_H-M 'C m c m'
_symmetry_Int_Tables_number 63
_symmetry_space_group_name_Hall '-C 2c 2'
loop_
_atom_site_label
_atom_site_fract_x
_atom_site_fract_y
_atom_site_fract_z
_atom_site_occupancy
Rb1 0.0000 0.1557 0.2500 1
In1 0.1915 0.5000 0.0000 1
Au1 0.0000 0.4028 0.7500 1
Au2 0.1932 0.2109 0.7500 1

# PBE RbIn2Au, relaxed
# * energy of formation from the pure elements: -0.19 eV/f.u.
# * crystal system: tetragonal
# * raw total energy: -39.64 eV for the cell shown
data_RbIn2Au
_cell_length_a 5.7288
_cell_length_b 5.7288
_cell_length_c 19.1567
_cell_angle_alpha 90.00
_cell_angle_beta 90.00
_cell_angle_gamma 90.00
_symmetry_space_group_name_H-M 'I -4 2 d'
_symmetry_Int_Tables_number 122
_symmetry_space_group_name_Hall 'I -4 2bw'
loop_
_atom_site_label
_atom_site_fract_x
_atom_site_fract_y
_atom_site_fract_z
_atom_site_occupancy
Rb1 0.0000 0.0000 0.0000 1
In1 0.0562 0.2500 0.6250 1
Au1 0.0000 0.0000 0.5000 1

# PBE RbIn3Au6, relaxed
# * energy of formation from the pure elements: -1.43 eV/f.u.
# * crystal system: monoclinic
# * raw total energy: -60.55 eV for the cell shown
data_RbIn3Au6
_cell_length_a 7.2270
_cell_length_b 7.9309
_cell_length_c 9.4573
_cell_angle_alpha 90.00
_cell_angle_beta 122.14
_cell_angle_gamma 90.00
_symmetry_space_group_name_H-M 'P 1 21/c 1'
_symmetry_Int_Tables_number 14
loop_
_symmetry_equiv_pos_as_xyz
'x,y,z'
'-x,-y,-z'
'-x,y+1/2,-z+1/2'
'x,-y+1/2,z+1/2'
loop_
_atom_site_label
_atom_site_fract_x
_atom_site_fract_y
_atom_site_fract_z
_atom_site_occupancy
Rb1 0.0000 0.0000 0.0000 1
In1 0.2683 0.1323 0.4375 1
In2 0.5000 0.0000 0.0000 1
Au1 0.1467 0.0409 0.6768 1
Au2 0.2186 0.7154 0.8604 1
Au3 0.4989 0.2065 0.2671 1

# PBE RbIn5Au3, relaxed
# * energy of formation from the pure elements: -1.89 eV/f.u.
# * crystal system: orthorhombic
# * raw total energy: -105.54 eV for the cell shown
data_RbIn5Au3
_cell_length_a 4.5164
_cell_length_b 14.7776
_cell_length_c 14.7153
_cell_angle_alpha 90.00
_cell_angle_beta 90.00
_cell_angle_gamma 90.00
_symmetry_space_group_name_H-M 'C m c m'
_symmetry_Int_Tables_number 63
_symmetry_space_group_name_Hall '-C 2c 2'
loop_
_atom_site_label
_atom_site_fract_x
_atom_site_fract_y
_atom_site_fract_z
_atom_site_occupancy
Rb1 0.0000 0.1680 0.2500 1
In1 0.0000 0.0000 0.0000 1
In2 0.0000 0.1963 0.5755 1
In3 0.0000 0.4605 0.1488 1
Au1 0.0000 0.1119 0.7500 1
Au2 0.0000 0.3777 0.5363 1

# PBE RbInAu, relaxed
# * energy of formation from the pure elements: -0.81 eV/f.u.
# * crystal system: cubic
# * raw total energy: -31.16 eV for the cell shown
data_RbInAu
_cell_length_a 7.5836
_cell_length_b 7.5836
_cell_length_c 7.5836
_cell_angle_alpha 90.00
_cell_angle_beta 90.00
_cell_angle_gamma 90.00
_symmetry_space_group_name_H-M 'P 21 3'
_symmetry_Int_Tables_number 198
_symmetry_space_group_name_Hall 'P 2ac 2ab 3'
loop_
_atom_site_label
_atom_site_fract_x
_atom_site_fract_y
_atom_site_fract_z
_atom_site_occupancy
Rb1 0.1478 0.1478 0.1478 1
In1 0.1515 0.3485 0.6515 1
Au1 0.0868 0.5868 0.9132 1

# PBE Rb4In2Au5, relaxed
# * energy of formation from the pure elements: -1.95 eV/f.u.
# * crystal system: orthorhombic
# * raw total energy: -110.76 eV for the cell shown
data_Rb4In2Au5
_cell_length_a 10.0913
_cell_length_b 22.7265
_cell_length_c 6.0438
_cell_angle_alpha 90.00
_cell_angle_beta 90.00
_cell_angle_gamma 90.00
_symmetry_space_group_name_H-M 'I b a m'
_symmetry_Int_Tables_number 72
_symmetry_space_group_name_Hall '-I 2 2c'
loop_
_atom_site_label
_atom_site_fract_x
_atom_site_fract_y
_atom_site_fract_z
_atom_site_occupancy
Rb1 0.1141 0.1469 0.0000 1
Rb2 0.2157 0.4455 0.0000 1
In1 0.0000 0.2910 0.2500 1
Au1 0.0000 0.0000 0.2500 1
Au2 0.0772 0.3964 0.5000 1
Au3 0.2138 0.2246 0.5000 1

# PBE Rb3InAu4, relaxed
# * energy of formation from the pure elements: -2.17 eV/f.u.
# * crystal system: orthorhombic
# * raw total energy: -41.83 eV for the cell shown
data_Rb3InAu4
_cell_length_a 6.8808
_cell_length_b 9.0483
_cell_length_c 8.8433
_cell_angle_alpha 90.00
_cell_angle_beta 90.00
_cell_angle_gamma 90.00
_symmetry_space_group_name_H-M 'I m m 2'
_symmetry_Int_Tables_number 44
loop_
_symmetry_equiv_pos_as_xyz
'x,y,z'
'-x,-y,z'
'-x,y,z'
'x,-y,z'
'x+1/2,y+1/2,z+1/2'
'-x+1/2,-y+1/2,z+1/2'
'-x+1/2,y+1/2,z+1/2'
'x+1/2,-y+1/2,z+1/2'
loop_
_atom_site_label
_atom_site_fract_x
_atom_site_fract_y
_atom_site_fract_z
_atom_site_occupancy
Rb1 0.0000 0.0000 0.0000 1
Rb2 0.0000 0.2682 0.3297 1
In1 0.0000 0.5000 0.8814 1
Au1 0.0000 0.2465 0.7146 1
Au2 0.2034 0.0000 0.5886 1

# PBE Rb3In5Au2, relaxed
# * energy of formation from the pure elements: -1.96 eV/f.u.
# * crystal system: orthorhombic
# * raw total energy: -100.45 eV for the cell shown
data_Rb3In5Au2
_cell_length_a 12.2025
_cell_length_b 14.8966
_cell_length_c 7.2950
_cell_angle_alpha 90.00
_cell_angle_beta 90.00
_cell_angle_gamma 90.00
_symmetry_space_group_name_H-M 'I b a m'
_symmetry_Int_Tables_number 72
_symmetry_space_group_name_Hall '-I 2 2c'
loop_
_atom_site_label
_atom_site_fract_x
_atom_site_fract_y
_atom_site_fract_z
_atom_site_occupancy
Rb1 0.0000 0.0000 0.2500 1
Rb2 0.2478 0.3699 0.0000 1
In1 0.0000 0.2581 0.2500 1
In2 0.0000 0.5000 0.2500 1
In3 0.1422 0.3826 0.5000 1
Au1 0.1368 0.1604 0.0000 1

# PBE RbInAu3, relaxed
# * energy of formation from the pure elements: 4.71 eV/f.u.
# * crystal system: cubic
# * offset from the most stable computed form: 1141 meV/atom
# * raw total energy: -8.83 eV for the cell shown
data_RbInAu3
_cell_length_a 6.0957
_cell_length_b 6.0957
_cell_length_c 6.0957
_cell_angle_alpha 90.00
_cell_angle_beta 90.00
_cell_angle_gamma 90.00
_symmetry_space_group_name_H-M 'P m -3 m'
_symmetry_Int_Tables_number 221
_symmetry_space_group_name_Hall '-P 4 2 3'
loop_
_atom_site_label
_atom_site_fract_x
_atom_site_fract_y
_atom_site_fract_z
_atom_site_occupancy
Rb1 0.0000 0.0000 0.0000 1
In1 0.5000 0.5000 0.5000 1
Au1 0.0000 0.0000 0.5000 1

# PBE Rb2In7Au, relaxed
# * energy of formation from the pure elements: -1.33 eV/f.u.
# * crystal system: tetragonal
# * raw total energy: -25.71 eV for the cell shown
data_Rb2In7Au
_cell_length_a 5.1530
_cell_length_b 5.1530
_cell_length_c 11.9944
_cell_angle_alpha 90.00
_cell_angle_beta 90.00
_cell_angle_gamma 90.00
_symmetry_space_group_name_H-M 'P -4 m 2'
_symmetry_Int_Tables_number 115
loop_
_symmetry_equiv_pos_as_xyz
'x,y,z'
'y,-x,-z'
'-x,-y,z'
'-y,x,-z'
'-x,y,z'
'-y,-x,-z'
'x,-y,z'
'y,x,-z'
loop_
_atom_site_label
_atom_site_fract_x
_atom_site_fract_y
_atom_site_fract_z
_atom_site_occupancy
Rb1 0.0000 0.5000 0.2412 1
In1 0.0000 0.0000 0.0000 1
In2 0.0000 0.0000 0.5000 1
In3 0.0000 0.5000 0.6366 1
In4 0.0000 0.5000 0.8846 1
In5 0.5000 0.5000 0.5000 1
Au1 0.5000 0.5000 0.0000 1

# PBE RbIn2Au2, relaxed
# * energy of formation from the pure elements: -1.31 eV/f.u.
# * crystal system: tetragonal
# * offset from the most stable computed form: 14 meV/atom
# * raw total energy: -28.62 eV for the cell shown
data_RbIn2Au2
_cell_length_a 5.2050
_cell_length_b 5.2050
_cell_length_c 10.7152
_cell_angle_alpha 90.00
_cell_angle_beta 90.00
_cell_angle_gamma 90.00
_symmetry_space_group_name_H-M 'I 4/m m m'
_symmetry_Int_Tables_number 139
_symmetry_space_group_name_Hall '-I 4 2'
loop_
_atom_site_label
_atom_site_fract_x
_atom_site_fract_y
_atom_site_fract_z
_atom_site_occupancy
Rb1 0.0000 0.0000 0.0000 1
In1 0.0000 0.0000 0.3539 1
Au1 0.0000 0.5000 0.2500 1

# PBE Rb2In5Au3, relaxed
# * energy of formation from the pure elements: -1.95 eV/f.u.
# * crystal system: orthorhombic
# * offset from the most stable computed form: 37 meV/atom
# * raw total energy: -109.64 eV for the cell shown
data_Rb2In5Au3
_cell_length_a 4.9542
_cell_length_b 29.7225
_cell_length_c 7.6761
_cell_angle_alpha 90.00
_cell_angle_beta 90.00
_cell_angle_gamma 90.00
_symmetry_space_group_name_H-M 'C m c 21'
_symmetry_Int_Tables_number 36
loop_
_symmetry_equiv_pos_as_xyz
'x,y,z'
'-x,-y,z+1/2'
'-x,y,z'
'x,-y,z+1/2'
'x+1/2,y+1/2,z'
'-x+1/2,-y+1/2,z+1/2'
'-x+1/2,y+1/2,z'
'x+1/2,-y+1/2,z+1/2'
loop_
_atom_site_label
_atom_site_fract_x
_atom_site_fract_y
_atom_site_fract_z
_atom_site_occupancy
Rb1 0.0000 0.0179 0.0000 1
Rb2 0.0000 0.3194 0.0438 1
In1 0.0000 0.1093 0.3543 1
In2 0.0000 0.2088 0.8495 1
In3 0.0000 0.2103 0.2482 1
In4 0.0000 0.3700 0.5037 1
In5 0.0000 0.4362 0.1677 1
Au1 0.0000 0.1149 0.7519 1
Au2 0.0000 0.2733 0.5520 1
Au3 0.0000 0.4307 0.7971 1

# PBE Rb2In5Au4, relaxed
# * energy of formation from the pure elements: -2.59 eV/f.u.
# * crystal system: orthorhombic
# * offset from the most stable computed form: 0 meV/atom
# * raw total energy: -125.29 eV for the cell shown
data_Rb2In5Au4
_cell_length_a 6.7024
_cell_length_b 13.1045
_cell_length_c 15.0089
_cell_angle_alpha 90.00
_cell_angle_beta 90.00
_cell_angle_gamma 90.00
_symmetry_space_group_name_H-M 'F m m m'
_symmetry_Int_Tables_number 69
_symmetry_space_group_name_Hall '-F 2 2'
loop_
_atom_site_label
_atom_site_fract_x
_atom_site_fract_y
_atom_site_fract_z
_atom_site_occupancy
Rb1 0.0000 0.0000 0.1530 1
In1 0.0000 0.0000 0.5000 1
In2 0.2500 0.2500 0.0000 1
In3 0.2500 0.2500 0.2500 1
Au1 0.0000 0.1471 0.3687 1

# PBE RbIn12Au4, relaxed
# * energy of formation from the pure elements: -1.46 eV/f.u.
# * crystal system: cubic
# * raw total energy: -96.79 eV for the cell shown
data_RbIn12Au4
_cell_length_a 9.8960
_cell_length_b 9.8960
_cell_length_c 9.8960
_cell_angle_alpha 90.00
_cell_angle_beta 90.00
_cell_angle_gamma 90.00
_symmetry_space_group_name_H-M 'I m -3'
_symmetry_Int_Tables_number 204
_symmetry_space_group_name_Hall '-I 2 2 3'
loop_
_atom_site_label
_atom_site_fract_x
_atom_site_fract_y
_atom_site_fract_z
_atom_site_occupancy
Rb1 0.0000 0.0000 0.0000 1
In1 0.0000 0.1568 0.3480 1
Au1 0.2500 0.2500 0.2500 1

# PBE RbIn9Au2, relaxed
# * energy of formation from the pure elements: -1.26 eV/f.u.
# * crystal system: hexagonal
# * offset from the most stable computed form: 3 meV/atom
# * raw total energy: -33.43 eV for the cell shown
data_RbIn9Au2
_cell_length_a 9.4810
_cell_length_b 9.4810
_cell_length_c 4.4426
_cell_angle_alpha 90.00
_cell_angle_beta 90.00
_cell_angle_gamma 120.00
_symmetry_space_group_name_H-M 'P 6/m m m'
_symmetry_Int_Tables_number 191
_symmetry_space_group_name_Hall '-P 6 2'
loop_
_atom_site_label
_atom_site_fract_x
_atom_site_fract_y
_atom_site_fract_z
_atom_site_occupancy
Rb1 0.0000 0.0000 0.0000 1
In1 0.0000 0.5000 0.0000 1
In2 0.2033 0.4066 0.5000 1
Au1 0.3333 0.6667 0.0000 1